Record 1
Entry from the Alexandria database: an optimized crystal structure of Li2ThTl2Cd2 (PBE-GGA).

Geometry as POSCAR:
```
Li2ThTl2Cd2
1.0
8.4944 0.0000 0.0000
0.0000 4.9451 0.0000
-3.1121 0.0000 7.8871
Li Th Tl Cd
4 2 4 4
direct
0.1492 0.0000 0.4289 Li
0.3508 0.5000 0.5711 Li
0.6492 0.5000 0.4289 Li
0.8508 0.0000 0.5711 Li
0.0000 0.0000 0.0000 Th
0.5000 0.5000 0.0000 Th
0.0644 0.5000 0.7150 Tl
0.4356 0.0000 0.2850 Tl
0.5644 0.0000 0.7150 Tl
0.9356 0.5000 0.2850 Tl
0.2393 0.5000 0.2003 Cd
0.2607 0.0000 0.7997 Cd
0.7393 0.0000 0.2003 Cd
0.7607 0.5000 0.7997 Cd
```

Output
Formation enthalpy at 0 K ... -0.12 eV per atom
Final energy ... -18.639 eV/f.u.
D(E_F) ... 4.827 states/eV per cell
Space-group type ... C2/m, No. 12
Volume ... 331 Å³/cell

---

Record 2
Entry from the Alexandria database: an optimized crystal structure of Fe4SiRh (PBE-GGA).

Geometry as POSCAR:
```
Fe4SiRh
1.0
0.0000 3.3107 3.3107
3.3107 0.0000 3.3107
3.3107 3.3107 0.0000
Fe Si Rh
4 1 1
direct
0.3756 0.3756 0.3756 Fe
0.3756 0.3756 0.8732 Fe
0.3756 0.8732 0.3756 Fe
0.8732 0.3756 0.3756 Fe
0.7500 0.7500 0.7500 Si
0.0000 0.0000 0.0000 Rh
```

Output
Final energy ... -46.190 eV/f.u.
ΔE_f (raw) ... 72 meV per atom
D(E_F) ... 7.415 states/eV per cell
Space-group type ... F-43m, No. 216
Volume ... 73 Å³/cell

---

Record 3
Entry from the Alexandria database: an optimized crystal structure of Tl2CuAg (PBE-GGA).

Geometry as POSCAR:
```
Tl2CuAg
1.0
3.7017 0.0000 0.0000
-1.8509 3.2058 0.0000
0.0000 0.0000 24.2599
Tl Cu Ag
6 3 3
direct
0.0000 0.0000 0.0000 Tl
0.0000 0.0000 0.2219 Tl
0.3333 0.6667 0.6667 Tl
0.3333 0.6667 0.8885 Tl
0.6667 0.3333 0.3333 Tl
0.6667 0.3333 0.5552 Tl
0.0000 0.0000 0.7386 Cu
0.3333 0.6667 0.4052 Cu
0.6667 0.3333 0.0719 Cu
0.0000 0.0000 0.4670 Ag
0.3333 0.6667 0.1336 Ag
0.6667 0.3333 0.8003 Ag
```

Output
Formation enthalpy at 0 K ... 0.26 eV per atom
Offset from the most stable computed form ... 0.087 eV/atom
Final energy ... -10.652 eV/f.u.
D(E_F) ... 5.831 states/eV per cell
Space-group type ... R3m, No. 160
Volume ... 288 Å³/cell